No. 1
Material: EuDy4Y
Method: DFT, GGA-PBE
State: relaxed

POSCAR file:
```
EuDy4Y
1.0
6.6658 0.0000 0.0000
3.3329 5.7727 0.0000
3.3329 1.9242 5.4426
Eu Dy Y
1 4 1
direct
0.2500 0.2500 0.2500
0.6267 0.1198 0.6267
0.6267 0.6267 0.6267
0.1198 0.6267 0.6267
0.6267 0.6267 0.1198
0.0000 0.0000 0.0000
```

The value obtained for the formation energy is 0.231 eV/atom. Its space group is F-43m (216). Its electronic total energy is -5.63 eV per atom.


No. 2
Material: VTcAg
Method: DFT, GGA-PBE
State: relaxed

POSCAR file:
```
VTcAg
1.0
2.9726 0.0000 0.0000
0.0000 4.7338 0.0000
0.0000 0.0000 7.1718
Ag V Tc
2 2 2
direct
0.0000 0.0000 0.0558
0.5000 0.5000 0.9442
0.5000 0.0000 0.7074
0.0000 0.5000 0.2926
0.0000 0.0000 0.4578
0.5000 0.5000 0.5422
```

The value obtained for the formation energy is 0.316 eV/atom. Its space group is Pmmn (59). Its electronic total energy is -7.13 eV per atom.